# K2ZrWO6

An optimized crystal structure of K2ZrWO6 (GGA+U, Alexandria).

Values from the calculation:
Total energy (eV per atom): -7.221
SG: Fm-3m

abc: 5.7843 5.7841 8.1800
angles: 90.00 90.00 90.00
Last column: nearest neighbours and their distance in Å.
Atoms (fractional coordinates):
K: 0.5000 0.7499 0.2500  12 O 2.89
K: 0.5000 0.7499 0.7500  12 O 2.89
K: 0.0000 0.2501 0.2500  12 O 2.89
K: 0.0000 0.2501 0.7500  12 O 2.89
O: 0.2602 0.4894 0.5000  1 W 1.96, 1 Zr 2.13
O: 0.7398 0.4894 0.5000  1 W 1.96, 1 Zr 2.13
O: 0.2604 0.0100 0.5000  1 W 1.96, 1 Zr 2.13
O: 0.7396 0.0100 0.5000  1 W 1.96, 1 Zr 2.13
O: 0.2398 0.5106 0.0000  1 W 1.96, 1 Zr 2.13
O: 0.7604 0.9900 0.0000  1 W 1.96, 1 Zr 2.13
O: 0.7602 0.5106 0.0000  1 W 1.96, 1 Zr 2.13
O: 0.5000 0.2499 0.2603  1 W 1.96, 1 Zr 2.13
O: 0.0000 0.7501 0.2397  1 W 1.96, 1 Zr 2.13
O: 0.5000 0.2499 0.7397  1 W 1.96, 1 Zr 2.13
O: 0.2396 0.9900 0.0000  1 W 1.96, 1 Zr 2.13
O: 0.0000 0.7501 0.7603  1 W 1.96, 1 Zr 2.13
Zr: 0.5000 0.2502 0.0000  6 O 2.13
Zr: 0.0000 0.7498 0.5000  6 O 2.13
W: 0.5000 0.2497 0.5000  6 O 1.96
W: 0.0000 0.7503 0.0000  6 O 1.96